A relaxed MnSiB3 crystal, computed with PBE.

Results
DFT total energy, eV/atom: -5.854
SG: No. 221
Theoretical density, g cm⁻³: 3.4
Crystal system: cubic
V, Å³/atom: 11.3
Total magnetization, Bohr magnetons per cell: 0.0

Unit cell a=3.834 b=3.834 c=3.834 alpha=90.00 beta=90.00 gamma=90.00
Sites, in units of the cell vectors:
B  0.000  0.500  0.000
B  0.000  0.000  0.500
B  0.500  0.000  0.000
Si  0.500  0.500  0.500
Mn  0.000  0.000  0.000